# 1
Below is LiCePd4 after structural relaxation, with properties calculated at the PBE level.

a = 4.5052 Å, b = 5.3904 Å, c = 9.5155 Å
α = 90.00°, β = 103.69°, γ = 90.00°
Last column: nearest neighbours and their distance in Å.
Fractional coordinates of all 12 atoms:
Li (0.5829, 0.8741, 0.1658)  5 Pd 2.49-2.77
Li (0.4171, 0.3741, 0.8342)  5 Pd 2.49-2.77
Ce (0.8557, 0.8400, 0.7113)  10 Pd 2.84-3.13
Ce (0.1443, 0.3400, 0.2887)  10 Pd 2.84-3.13
Pd (0.0000, 0.1279, 0.9999)  6 Pd 2.70-2.80, 1 Ce 2.90
Pd (0.0000, 0.6279, 0.0001)  6 Pd 2.70-2.80, 1 Ce 2.90
Pd (0.4483, 0.8771, 0.8966)  3 Li 2.49-2.77
Pd (0.5517, 0.3771, 0.1034)  3 Li 2.49-2.77
Pd (0.7004, 0.6107, 0.4008)  1 Li 2.60, 4 Pd 2.67-2.78, 2 Ce 2.88
Pd (0.2996, 0.1107, 0.5992)  1 Li 2.60, 4 Pd 2.67-2.78, 2 Ce 2.88
Pd (0.7114, 0.1037, 0.4229)  4 Pd 2.67-2.78, 1 Li 2.68, 2 Ce 2.87
Pd (0.2886, 0.6037, 0.5771)  4 Pd 2.67-2.78, 1 Li 2.68, 2 Ce 2.87

Summary:
Magnetization = 0.18 μB per formula unit
Final energy = -5.23 eV per atom
D(E_F) = 9.5 states/eV/cell



# 2
Below is CrInRu2N after structural relaxation, with properties calculated at the PBE level.

a = 4.1455 Å, b = 4.1455 Å, c = 3.9176 Å
α = 90.00°, β = 90.00°, γ = 90.00°
Last column: nearest neighbours and their distance in Å.
Fractional coordinates of all 5 atoms:
Ru (0.0000, 0.5000, 0.0000)  2 N 2.07
Ru (0.5000, 0.0000, 0.0000)  2 N 2.07
N (0.0000, 0.0000, 0.0000)  2 Cr 1.96, 4 Ru 2.07
Cr (0.0000, 0.0000, 0.5000)  2 N 1.96
In (0.5000, 0.5000, 0.5000)  8 Ru 2.85, 4 Cr 2.93

Summary:
Magnetization = 2.27 μB per formula unit
Formation energy without anion corrections = -0.027 eV per atom
D(E_F) = 3.2 states/eV/cell



D(E_F) of number 1 (LiCePd4)? 9.5 states/eV/cell



Among the records above, which one has the lowest D(E_F)? CrInRu2N



Look up the magnetization of the first one. 0.18 μB per formula unit